Model P:
Material: Mg2Cd2Au
Method: DFT, PBE
State: optimized geometry

Cell: 3.842 3.842 15.620 Å, 90.00 90.00 90.00°
Space group I4/mmm (No. 139)
Symmetry-distinct sites (fractional):
Mg: 0.000 0.000 0.090 x4
Cd: 0.000 0.500 0.250 x4
Au: 0.000 0.000 0.500 x2

- Total magnetic moment: 0.000 μB per cell

***

Model Q:
Material: Mg2Cd2Au
Method: DFT, PBE
State: optimized geometry

Cell: 4.601 4.681 5.655 Å, 90.00 113.85 90.00°
Space group P2/m (No. 10)
Symmetry-distinct sites (fractional):
Mg: 0.149 0.000 0.297 x2
Cd: 0.345 0.500 0.691 x2
Au: 0.500 0.000 0.000 x1

- Total magnetic moment: 0.000 μB per cell

***

Model R:
Material: Mg2Cd2Au
Method: DFT, PBE
State: optimized geometry

Cell: 3.986 3.986 14.210 Å, 90.00 90.00 90.00°
Space group I4/mmm (No. 139)
Symmetry-distinct sites (fractional):
Mg: 0.000 0.500 0.250 x4
Cd: 0.000 0.000 0.096 x4
Au: 0.000 0.000 0.500 x2

- Total magnetic moment: 0.000 μB per cell

***

Which one is most stable, and which one is least stable? model Q is the most stable of them, while model R is the least stable.

***

Model P:
Material: Mg2Cd2Au
Method: DFT, PBE
State: optimized geometry

Cell: 7.341 7.341 4.006 Å, 90.00 90.00 90.00°
Space group P4/mbm (No. 127)
Symmetry-distinct sites (fractional):
Mg: 0.165 0.335 0.000 x4
Cd: 0.139 0.639 0.500 x4
Au: 0.000 0.000 0.500 x2

- Total magnetic moment: 0.000 μB per cell

***

Model Q:
Material: Mg2Cd2Au
Method: DFT, PBE
State: optimized geometry

Cell: 4.547 4.547 21.842 Å, 90.00 90.00 90.00°
Space group I4_1/amd (No. 141, origin choice 2)
Symmetry-distinct sites (fractional):
Mg: 0.000 0.250 0.056 x8
Cd: 0.000 0.250 0.204 x8
Au: 0.000 0.250 0.375 x4

- Total magnetic moment: 0.000 μB per cell

***

Which one is most stable, and which one is least stable? model Q is the most stable of them, while model P is the least stable.

***

Model P:
Material: Mg2CdAu7
Method: DFT, PBE
State: optimized geometry

Cell: 7.412 14.278 4.439 Å, 90.00 90.00 90.00°
Space group Cmmm (No. 65)
Symmetry-distinct sites (fractional):
Mg: 0.000 0.201 0.000 x4
Cd: 0.000 0.500 0.500 x2
Au: 0.000 0.000 0.000 x2
Au: 0.000 0.306 0.500 x4
Au: 0.189 0.395 0.000 x8

- Total magnetic moment: 0.000 μB per cell

***

Model Q:
Material: Mg2CdAu7
Method: DFT, PBE
State: optimized geometry

Cell: 5.742 8.269 17.041 Å, 90.00 90.00 90.00°
Space group Fmmm (No. 69)
Symmetry-distinct sites (fractional):
Mg: 0.000 0.000 0.171 x8
Cd: 0.000 0.000 0.500 x4
Au: 0.000 0.000 0.000 x4
Au: 0.250 0.250 0.088 x16
Au: 0.250 0.250 0.250 x8

- Total magnetic moment: 0.000 μB per cell

***

Which one is most stable, and which one is least stable? model Q is the most stable of them, while model P is the least stable.

***

Model P:
Material: Mg6Cd2Au
Method: DFT, PBE
State: optimized geometry

Cell: 8.1225 8.1225 3.3419 Å, 90.00 90.00 120.00°
Space group P-62m (No. 189)
Symmetry-distinct sites (fractional):
Mg: 0.0000 0.2726 0.0000 x3
Mg: 0.0000 0.6300 0.5000 x3
Cd: 0.3333 0.6667 0.0000 x2
Au: 0.0000 0.0000 0.5000 x1

- Total magnetic moment: 0.000 μB per cell

***

Model Q:
Material: Mg6Cd2Au
Method: DFT, PBE
State: optimized geometry

Cell: 14.618 6.981 4.514 Å, 90.00 106.63 90.00°
Space group C2/m (No. 12)
Symmetry-distinct sites (fractional):
Mg: 0.000 0.231 0.000 x4
Mg: 0.162 0.232 0.660 x8
Cd: 0.163 0.500 0.161 x4
Au: 0.000 0.000 0.500 x2

- Total magnetic moment: 0.000 μB per cell

***

Which one is most stable, and which one is least stable? model P is the most stable of them, while model Q is the least stable.

***

Model P:
Material: MgCd2Au6
Method: DFT, PBE
State: optimized geometry

Cell: 3.969 8.426 11.697 Å, 90.00 90.00 90.00°
Space group Immm (No. 71)
Symmetry-distinct sites (fractional):
Mg: 0.000 0.000 0.000 x2
Cd: 0.000 0.000 0.339 x4
Au: 0.000 0.245 0.166 x8
Au: 0.000 0.265 0.500 x4

- Total magnetic moment: 0.000 μB per cell

***

Model Q:
Material: MgCd2Au6
Method: DFT, PBE
State: optimized geometry

Cell: 8.837 8.837 4.275 Å, 90.00 90.00 90.00°
Space group P4_2/mnm (No. 136)
Symmetry-distinct sites (fractional):
Mg: 0.000 0.000 0.000 x2
Cd: 0.181 0.181 0.500 x4
Au: 0.009 0.329 0.000 x8
Au: 0.149 0.851 0.500 x4

- Total magnetic moment: 0.000 μB per cell

***

Which one is most stable, and which one is least stable? model Q is the most stable of them, while model P is the least stable.

***

Model P:
Material: MgCd4Au7
Method: DFT, PBE
State: optimized geometry

Cell: 4.334 4.998 11.844 Å, 78.02 88.84 64.95°
Space group P-1 (No. 2)
Symmetry-distinct sites (fractional):
Mg: 0.000 0.000 0.000 x1
Cd: 0.323 0.357 0.833 x2
Cd: 0.336 0.326 0.584 x2
Au: 0.000 0.000 0.500 x1
Au: 0.007 0.985 0.244 x2
Au: 0.332 0.328 0.332 x2
Au: 0.343 0.315 0.077 x2

- Total magnetic moment: 0.000 μB per cell

***

Model Q:
Material: MgCd4Au7
Method: DFT, PBE
State: optimized geometry

Cell: 10.809 5.125 10.380 Å, 90.00 119.69 90.00°
Space group C2/m (No. 12)
Symmetry-distinct sites (fractional):
Mg: 0.000 0.000 0.000 x2
Cd: 0.095 0.500 0.774 x4
Cd: 0.244 0.000 0.666 x4
Au: 0.000 0.500 0.000 x2
Au: 0.070 0.000 0.314 x4
Au: 0.137 0.500 0.523 x4
Au: 0.212 0.000 0.916 x4

- Total magnetic moment: 0.000 μB per cell

***

Which one is most stable, and which one is least stable? model P is the most stable of them, while model Q is the least stable.

***

Model P:
Material: Mg7Cd2Au2
Method: DFT, PBE
State: optimized geometry

Cell: 4.524 13.201 7.584 Å, 90.00 90.00 90.00°
Space group Imm2 (No. 44)
Symmetry-distinct sites (fractional):
Mg: 0.000 0.000 0.000 x2
Mg: 0.000 0.153 0.324 x4
Mg: 0.000 0.333 0.554 x4
Mg: 0.000 0.349 0.127 x4
Cd: 0.000 0.000 0.614 x2
Cd: 0.000 0.500 0.814 x2
Au: 0.000 0.198 0.848 x4

- Total magnetic moment: 0.000 μB per cell

***

Model Q:
Material: Mg7Cd2Au2
Method: DFT, PBE
State: optimized geometry

Cell: 7.911 9.964 6.687 Å, 90.00 90.00 90.00°
Space group Cmmm (No. 65)
Symmetry-distinct sites (fractional):
Mg: 0.000 0.000 0.000 x2
Mg: 0.000 0.500 0.246 x4
Mg: 0.250 0.250 0.268 x8
Cd: 0.181 0.000 0.500 x4
Au: 0.000 0.279 0.000 x4

- Total magnetic moment: 0.000 μB per cell

***

Which one is most stable, and which one is least stable? model P is the most stable of them, while model Q is the least stable.

***

Model P:
Material: MnCd2Au
Method: DFT, PBE
State: optimized geometry

Cell: 9.755 3.114 5.061 Å, 90.00 101.88 90.00°
Space group C2/m (No. 12)
Symmetry-distinct sites (fractional):
Mn: 0.000 0.000 0.000 x2
Cd: 0.249 0.500 0.248 x4
Au: 0.000 0.500 0.500 x2

- Total magnetic moment: 8.010 μB per cell

***

Model Q:
Material: MnCd2Au
Method: DFT, PBE
State: optimized geometry

Cell: 6.683 6.683 6.683 Å, 90.00 90.00 90.00°
Space group Fm-3m (No. 225)
Symmetry-distinct sites (fractional):
Mn: 0.000 0.000 0.000 x4
Cd: 0.250 0.250 0.250 x8
Au: 0.000 0.000 0.500 x4

- Total magnetic moment: 15.832 μB per cell

***

Which one is most stable, and which one is least stable? model Q is the most stable of them, while model P is the least stable.